Record 1
This record from Alexandria describes a PBEsol-optimized structure of Te2AuCl. The functional is meta-GGA SCAN.

The calculation puts the raw formation energy at -0.288 eV per atom. As for the total DFT energy (no corrections): -38.197 eV/atom. Its total moment is 0.00 μB per formula unit.

It has space group R-3m (No. 166, hexagonal axes), with a = 4.0864 Å, b = 4.0864 Å, c = 20.8063 Å, α = 90.00°, β = 90.00° and γ = 120.00°. The inequivalent atoms are Te at (0.0000, 0.0000, 0.2349), Au at (0.0000, 0.0000, 0.5000) and Cl at (0.0000, 0.0000, 0.0000).


Record 2
This record from Alexandria describes a PBEsol-optimized structure of Y2Si2H. The functional is meta-GGA SCAN.

As for the total DFT energy (no corrections): -16.373 eV/atom. Its total moment is 0.00 μB per formula unit.

It has space group P4/mbm (No. 127), with a = 6.908 Å, b = 6.908 Å, c = 4.173 Å, α = 90.00°, β = 90.00° and γ = 90.00°. The inequivalent atoms are Y at (0.180, 0.320, 0.000), Si at (0.117, 0.617, 0.500) and H at (0.000, 0.000, 0.000).


Record 3
This record from Alexandria describes a PBEsol-optimized structure of CdH2Pd2. The functional is meta-GGA SCAN.

As for the total DFT energy (no corrections): -20.776 eV/atom. Its total moment is 0.00 μB per formula unit.

It has space group I4/mmm (No. 139), with a = 3.259 Å, b = 3.259 Å, c = 10.152 Å, α = 90.00°, β = 90.00° and γ = 90.00°. The inequivalent atoms are Cd at (0.000, 0.000, 0.000), H at (0.000, 0.500, 0.250) and Pd at (0.000, 0.000, 0.342).